Run i
A plane-wave DFT calculation with PBE was carried out for a geometry-optimized CeB3O6 structure.

Results
The crystal system is orthorhombic. The symmetry is No. 29.

a = 4.3243 Å, b = 4.5109 Å, c = 18.6201 Å
α = 90.00°, β = 90.00°, γ = 90.00°
With the nearest neighbours (Å) after each atom.
Element x y z (fractional)
Ce 0.8721 0.1861 0.3399  6 O 2.39-2.65
Ce 0.8721 0.8139 0.8399  6 O 2.39-2.65
Ce 0.3721 0.1861 0.1601  6 O 2.39-2.65
Ce 0.3721 0.8139 0.6601  6 O 2.39-2.65
B 0.3136 0.1765 0.5017  4 O 1.43-1.58
B 0.8651 0.6384 0.2128  4 O 1.45-1.49
B 0.3411 0.3264 0.9265  4 O 1.46-1.57
B 0.8411 0.6736 0.0735  4 O 1.46-1.57
B 0.3411 0.6736 0.4265  4 O 1.46-1.57
B 0.8136 0.8235 0.4983  4 O 1.43-1.58
B 0.3651 0.3616 0.7872  4 O 1.45-1.49
B 0.3651 0.6384 0.2872  4 O 1.45-1.49
B 0.8651 0.3616 0.7128  4 O 1.45-1.49
B 0.3136 0.8235 0.0017  4 O 1.43-1.58
B 0.8411 0.3264 0.5735  4 O 1.46-1.57
B 0.8136 0.1765 0.9983  4 O 1.43-1.58
O 0.2325 0.2404 0.8551  2 B 1.46-1.49
O 0.2668 0.3625 0.4399  2 B 1.44-1.46
O 0.1729 0.2637 0.5682  2 B 1.43-1.47
O 0.7668 0.6375 0.5601  2 B 1.44-1.46
O 0.8638 0.3166 0.2093  1 B 1.45
O 0.1828 0.2523 0.7244  2 B 1.48-1.49
O 0.7668 0.3625 0.0601  2 B 1.44-1.46
O 0.1684 0.1269 0.9825  3 B 1.55-1.58
O 0.6729 0.2637 0.9318  2 B 1.43-1.47
O 0.7325 0.2404 0.6449  2 B 1.46-1.49
O 0.1828 0.7477 0.2244  2 B 1.48-1.49
O 0.1684 0.8731 0.4825  3 B 1.55-1.58
O 0.2668 0.6375 0.9399  2 B 1.44-1.46
O 0.6828 0.2523 0.7756  2 B 1.48-1.49
O 0.3638 0.6834 0.7907  1 B 1.45
O 0.3638 0.3166 0.2907  1 B 1.45
O 0.2325 0.7596 0.3551  2 B 1.46-1.49
O 0.8638 0.6834 0.7093  1 B 1.45
O 0.7325 0.7596 0.1449  2 B 1.46-1.49
O 0.6684 0.1269 0.5175  3 B 1.55-1.58
O 0.6729 0.7363 0.4318  2 B 1.43-1.47
O 0.6684 0.8731 0.0175  3 B 1.55-1.58
O 0.6828 0.7477 0.2756  2 B 1.48-1.49
O 0.1729 0.7363 0.0682  2 B 1.43-1.47

Run ii
A plane-wave DFT calculation with PBE was carried out for a geometry-optimized CeB3O6 structure.

Results
The crystal system is monoclinic. The symmetry is No. 15.

a = 6.4562 Å, b = 6.4562 Å, c = 6.5250 Å
α = 62.14°, β = 62.14°, γ = 78.77°
With the nearest neighbours (Å) after each atom.
Element x y z (fractional)
Ce 0.7979 0.2021 0.2500  8 O 2.40-2.64
Ce 0.2021 0.7979 0.7500  8 O 2.40-2.64
B 0.7779 0.2221 0.7500  4 O 1.46-1.50
B 0.2221 0.7779 0.2500  4 O 1.46-1.50
B 0.7950 0.6586 0.4178  3 O 1.34-1.42
B 0.3414 0.2050 0.0822  3 O 1.34-1.42
B 0.2050 0.3414 0.5822  3 O 1.34-1.42
B 0.6586 0.7950 0.9178  3 O 1.34-1.42
O 0.9913 0.2194 0.7857  2 B 1.42-1.50
O 0.6160 0.7889 0.5006  1 B 1.34
O 0.2111 0.3840 0.9994  1 B 1.34
O 0.3840 0.2111 0.4994  1 B 1.34
O 0.4160 0.7883 0.0096  2 B 1.39-1.46
O 0.2117 0.5840 0.4904  2 B 1.39-1.46
O 0.5840 0.2117 0.9904  2 B 1.39-1.46
O 0.7883 0.4160 0.5096  2 B 1.39-1.46
O 0.0087 0.7806 0.2143  2 B 1.42-1.50
O 0.2194 0.9913 0.2857  2 B 1.42-1.50
O 0.7889 0.6160 0.0006  1 B 1.34
O 0.7806 0.0087 0.7143  2 B 1.42-1.50

Which of them is the most stable, and which is the least stable? run ii and run i, in that order.

Run i
A plane-wave DFT calculation with PBE was carried out for a geometry-optimized CeBOs structure.

Results
The crystal system is tetragonal. The symmetry is No. 107.

a = 2.9533 Å, b = 2.9533 Å, c = 5.6104 Å
α = 105.26°, β = 105.26°, γ = 90.00°
With the nearest neighbours (Å) after each atom.
Element x y z (fractional)
B 0.7109 0.7109 0.4218  4 Os 2.22
Os 0.2837 0.2837 0.5674  4 B 2.22
Ce 0.0054 0.0054 0.0108  5 Os 2.90-3.11, 4 Ce 2.95, 5 B 2.99-3.07

Run ii
A plane-wave DFT calculation with PBE was carried out for a geometry-optimized CeBOs structure.

Results
The crystal system is monoclinic. The symmetry is No. 11.

a = 3.9660 Å, b = 3.9844 Å, c = 6.3610 Å
α = 90.00°, β = 97.61°, γ = 90.00°
With the nearest neighbours (Å) after each atom.
Element x y z (fractional)
Ce 0.7984 0.2500 0.3481  4 Os 2.89-3.03, 5 B 3.01-3.15, 2 Ce 3.07
Ce 0.2016 0.7500 0.6519  4 Os 2.89-3.03, 5 B 3.01-3.15, 2 Ce 3.07
B 0.7196 0.2500 0.8484  4 Os 2.20-2.21
B 0.2804 0.7500 0.1516  4 Os 2.20-2.21
Os 0.2507 0.2500 0.0004  4 B 2.20-2.21
Os 0.7493 0.7500 0.9996  4 B 2.20-2.21

Run iii
A plane-wave DFT calculation with PBE was carried out for a geometry-optimized CeBOs structure.

Results
The crystal system is hexagonal. The symmetry is No. 187.

a = 4.3689 Å, b = 3.6858 Å, c = 3.6858 Å
α = 120.00°, β = 90.00°, γ = 90.00°
With the nearest neighbours (Å) after each atom.
Element x y z (fractional)
B 0.1667 0.6667 0.3333  3 Os 2.13
Os 0.1667 0.0000 0.0000  3 B 2.13
Ce 0.6666 0.3333 0.6667  6 B 3.05, 6 Os 3.05

Which of them is the most stable, and which is the least stable? run iii and run i, in that order.

Run i
A plane-wave DFT calculation with PBE was carried out for a geometry-optimized CeBP structure.

Results
The crystal system is orthorhombic. The symmetry is No. 71.

a = 3.3538 Å, b = 7.9990 Å, c = 5.6121 Å
α = 135.45°, β = 107.39°, γ = 90.00°
With the nearest neighbours (Å) after each atom.
Element x y z (fractional)
Ce 0.4053 0.5927 0.9291  4 B 2.83, 6 P 2.86-3.01
Ce 0.4053 0.0659 0.9292  4 B 2.83, 6 P 2.86-3.01
B 0.7847 0.2087 0.6881  1 B 1.72
B 0.0259 0.4498 0.1702  1 B 1.72
P 0.6771 0.6012 0.4729  2 B 1.99
P 0.1335 0.0574 0.3854  2 B 1.99

Run ii
A plane-wave DFT calculation with PBE was carried out for a geometry-optimized CeBP structure.

Results
The crystal system is orthorhombic. The symmetry is No. 71.

a = 5.6263 Å, b = 5.7035 Å, c = 5.3388 Å
α = 122.26°, β = 121.80°, γ = 90.00°
With the nearest neighbours (Å) after each atom.
Element x y z (fractional)
B 0.0000 0.6586 0.9999  1 B 1.81, 2 P 1.97
B 0.0000 0.3414 0.0001  1 B 1.81, 2 P 1.97
P 0.7525 0.2526 0.5050  2 B 1.97
P 0.2475 0.7474 0.4950  2 B 1.97
Ce 0.7414 0.7416 0.4829  2 B 2.67, 4 P 2.81-2.85
Ce 0.2586 0.2584 0.5171  2 B 2.67, 4 P 2.81-2.85

Which of them is the most stable, and which is the least stable? run i and run ii, in that order.